*P*
VASP calculation (GGA-PBE) on a geometry-optimized La4GeAu structure.

Lattice parameters (Å, degrees): 4.5557 8.3018 19.1236 90.00 90.00 90.00
Atoms (fractional coordinates):
La: 0.7500 0.8595 0.6575
La: 0.2500 0.1405 0.3425
La: 0.2500 0.6405 0.1575
La: 0.7500 0.3595 0.8425
La: 0.7500 0.8605 0.4333
La: 0.2500 0.1395 0.5667
La: 0.2500 0.6395 0.9333
La: 0.7500 0.3605 0.0667
La: 0.7500 0.9728 0.9270
La: 0.2500 0.0272 0.0730
La: 0.2500 0.5272 0.4270
La: 0.7500 0.4728 0.5730
La: 0.7500 0.9871 0.2232
La: 0.2500 0.0129 0.7768
La: 0.2500 0.5129 0.7232
La: 0.7500 0.4871 0.2768
Ge: 0.7500 0.7221 0.8090
Ge: 0.2500 0.2779 0.1910
Ge: 0.2500 0.7779 0.3090
Ge: 0.7500 0.2221 0.6910
Au: 0.7500 0.2508 0.4444
Au: 0.2500 0.7492 0.5556
Au: 0.2500 0.2492 0.9444
Au: 0.7500 0.7508 0.0556

Properties
**Space group**: No. 62

***

*Q*
VASP calculation (GGA-PBE) on a geometry-optimized La4GeAu structure.

Lattice parameters (Å, degrees): 7.5400 7.3705 7.4764 90.00 89.58 90.00
Atoms (fractional coordinates):
La: 0.8344 0.6613 0.1558
La: 0.6656 0.1613 0.8442
La: 0.3442 0.3437 0.3420
La: 0.1558 0.8437 0.6580
La: 0.1656 0.3387 0.8442
La: 0.3344 0.8387 0.1558
La: 0.6558 0.6563 0.6580
La: 0.8442 0.1563 0.3420
Ge: 0.0000 0.0000 0.0000
Ge: 0.5000 0.5000 0.0000
Au: 0.5000 0.0000 0.5000
Au: 0.0000 0.5000 0.5000

Properties
**Space group**: No. 14

***

Relative energies, meV/atom: *P* 0; *Q* 136.

***

*P*
VASP calculation (GGA-PBE) on a geometry-optimized LaThGeAu structure.

Lattice parameters (Å, degrees): 5.2854 5.2854 5.2854 60.00 60.00 60.00
Atoms (fractional coordinates):
Ge: 0.0000 0.0000 0.0000
Au: 0.5000 0.5000 0.5000
Th: 0.7500 0.7500 0.7500
La: 0.2500 0.2500 0.2500

Properties
**Space group**: No. 216

***

*Q*
VASP calculation (GGA-PBE) on a geometry-optimized LaThGeAu structure.

Lattice parameters (Å, degrees): 4.2602 4.4144 6.1057 90.00 110.42 90.00
Each line ends with the local moment (μB).
Atoms (fractional coordinates):
La: 0.8562 0.5000 0.7124  0.06
Th: 0.1372 0.0000 0.2743  0.09
Ge: 0.5850 0.5000 0.1699  -0.01
Au: 0.4216 0.0000 0.8433  0.01

Properties
**Space group**: No. 38

***

Relative energies, meV/atom: *P* 120; *Q* 0.

***

*P*
VASP calculation (GGA-PBE) on a geometry-optimized Li2GeAu2 structure.

Lattice parameters (Å, degrees): 7.5638 7.5638 2.8818 90.00 90.00 90.00
Atoms (fractional coordinates):
Ge: 0.0000 0.0000 0.0000
Ge: 0.5000 0.5000 0.0000
Au: 0.1579 0.6579 0.5000
Au: 0.6579 0.8421 0.5000
Au: 0.8421 0.3421 0.5000
Au: 0.3421 0.1579 0.5000
Li: 0.3629 0.8629 0.0000
Li: 0.8629 0.6371 0.0000
Li: 0.6371 0.1371 0.0000
Li: 0.1371 0.3629 0.0000

Properties
**Space group**: No. 127

***

*Q*
VASP calculation (GGA-PBE) on a geometry-optimized Li2GeAu2 structure.

Lattice parameters (Å, degrees): 7.2952 7.2952 3.1016 90.00 90.00 90.00
Atoms (fractional coordinates):
Ge: 0.0000 0.0000 0.0000
Ge: 0.5000 0.5000 0.0000
Au: 0.3563 0.8563 0.0000
Au: 0.8563 0.6437 0.0000
Au: 0.6437 0.1437 0.0000
Au: 0.1437 0.3563 0.0000
Li: 0.1551 0.6551 0.5000
Li: 0.6551 0.8449 0.5000
Li: 0.8449 0.3449 0.5000
Li: 0.3449 0.1551 0.5000

Properties
**Space group**: No. 127

***

*R*
VASP calculation (GGA-PBE) on a geometry-optimized Li2GeAu2 structure.

Lattice parameters (Å, degrees): 3.6673 3.6673 7.1103 75.06 75.06 90.00
Atoms (fractional coordinates):
Ge: 0.0000 0.0000 0.0000
Au: 0.3932 0.3932 0.2137
Au: 0.6068 0.6068 0.7863
Li: 0.7500 0.2500 0.5000
Li: 0.2500 0.7500 0.5000

Properties
**Space group**: No. 139

***

Relative energies, meV/atom: *P* 74; *Q* 0; *R* 221.

***

*P*
VASP calculation (GGA-PBE) on a geometry-optimized LiGe2Au structure.

Lattice parameters (Å, degrees): 3.2821 3.2821 9.0963 79.61 79.61 60.00
Atoms (fractional coordinates):
Ge: 0.0951 0.0951 0.7148
Ge: 0.9049 0.9049 0.2852
Au: 0.5000 0.5000 0.5000
Li: 0.0000 0.0000 0.0000

Properties
**Space group**: No. 166

***

*Q*
VASP calculation (GGA-PBE) on a geometry-optimized LiGe2Au structure.

Lattice parameters (Å, degrees): 4.6283 4.6283 4.6283 60.00 60.00 60.00
Atoms (fractional coordinates):
Ge: 0.2500 0.2500 0.2500
Ge: 0.7500 0.7500 0.7500
Au: 0.5000 0.5000 0.5000
Li: 0.0000 0.0000 0.0000

Properties
**Space group**: No. 225

***

Relative energies, meV/atom: *P* 188; *Q* 0.